#1
VASP calculation (PBE) on crystalline BaCrW2 at its relaxed geometry.

Crystal system ... orthorhombic
Total moment ... 3.658 Bohr magnetons per cell

Cell: 6.081 6.081 6.081 Å, 148.94 126.06 63.56°
Each line ends with the local moment (μB).
Fractional coordinates of all 4 atoms:
1 Ba 0.513 0.513 0.000  -0.02
2 Cr 0.222 0.722 0.500  3.58
3 W 0.970 0.970 0.000  -0.05
4 W 0.794 0.294 0.500  -0.17

***

#2
VASP calculation (PBE) on crystalline BaCrW2 at its relaxed geometry.

Crystal system ... orthorhombic
Total moment ... 1.183 Bohr magnetons per cell

Cell: 6.025 6.025 6.025 Å, 151.99 127.85 60.23°
Each line ends with the local moment (μB).
Fractional coordinates of all 4 atoms:
1 Ba 0.750 0.250 0.500  0.04
2 Cr 0.250 0.750 0.500  1.47
3 W 0.046 0.046 0.000  -0.20
4 W 0.454 0.454 0.000  -0.20

***

Of them, the most stable is #2 and the least stable is #1.

***

#1
VASP calculation (PBE) on crystalline InSbP at its relaxed geometry.

Crystal system ... orthorhombic
Total moment ... 0.000 Bohr magnetons per cell

Cell: 7.657 7.374 3.341 Å, 81.92 72.48 25.60°
Fractional coordinates of all 3 atoms:
1 In 0.982 0.982 0.018
2 P 0.326 0.326 0.674
3 Sb 0.693 0.693 0.307

***

#2
VASP calculation (PBE) on crystalline InSbP at its relaxed geometry.

Crystal system ... triclinic
Total moment ... 0.000 Bohr magnetons per cell

Cell: 5.233 5.280 6.618 Å, 70.06 73.43 68.38°
Fractional coordinates of all 6 atoms:
1 In 0.915 0.368 0.129
2 In 0.696 0.235 0.794
3 Sb 0.121 0.570 0.419
4 Sb 0.264 0.800 0.783
5 P 0.545 0.131 0.484
6 P 0.389 0.887 0.099

***

Of them, the most stable is #2 and the least stable is #1.